Density functional theory data (PBE-GGA) for crystalline LaYThAl at its relaxed geometry.

Structure (CIF):
```
data_LaYThAl
_chemical_formula_sum 'La4 Y4 Th4 Al4'
_cell_length_a 7.772
_cell_length_b 7.772
_cell_length_c 7.772
_cell_angle_alpha 90.00
_cell_angle_beta 90.00
_cell_angle_gamma 90.00
_symmetry_space_group_name_H-M 'F -4 3 m'
_symmetry_Int_Tables_number 216
_symmetry_space_group_name_Hall 'F -4 2 3'
loop_
_atom_site_label
_atom_site_type_symbol
_atom_site_fract_x
_atom_site_fract_y
_atom_site_fract_z
La1 La 0.000 0.000 0.000
Y1 Y 0.250 0.250 0.750
Th1 Th 0.000 0.000 0.500
Al1 Al 0.250 0.250 0.250
```

Computed properties:
ΔE_f = 0.015 eV per atom